A plane-wave DFT calculation with PBEsol was carried out for a geometry-optimized Ba6Dy2Al4O15 structure.

POSCAR file:
```
Ba6Dy2Al4O15
1.0
7.827 0.000 0.000
0.000 5.892 0.000
-0.513 0.000 18.292
Ba Dy Al O
12 4 8 30
direct
0.000 0.176 0.250 Ba
0.000 0.824 0.750 Ba
0.001 0.255 0.919 Ba
0.001 0.745 0.419 Ba
0.472 0.248 0.910 Ba
0.472 0.752 0.410 Ba
0.500 0.226 0.250 Ba
0.500 0.774 0.750 Ba
0.528 0.248 0.590 Ba
0.528 0.752 0.090 Ba
0.999 0.255 0.581 Ba
0.999 0.745 0.081 Ba
0.253 0.249 0.090 Dy
0.253 0.751 0.590 Dy
0.747 0.249 0.410 Dy
0.747 0.751 0.910 Dy
0.253 0.247 0.443 Al
0.253 0.753 0.943 Al
0.278 0.268 0.732 Al
0.278 0.732 0.232 Al
0.722 0.268 0.768 Al
0.722 0.732 0.268 Al
0.747 0.247 0.057 Al
0.747 0.753 0.557 Al
0.038 0.254 0.408 O
0.038 0.746 0.908 O
0.192 0.174 0.814 O
0.192 0.826 0.314 O
0.227 0.472 0.189 O
0.227 0.528 0.689 O
0.255 0.048 0.666 O
0.255 0.952 0.166 O
0.264 0.484 0.505 O
0.264 0.516 0.005 O
0.265 0.003 0.998 O
0.265 0.997 0.498 O
0.446 0.263 0.393 O
0.446 0.737 0.893 O
0.500 0.293 0.750 O
0.500 0.707 0.250 O
0.554 0.263 0.107 O
0.554 0.737 0.607 O
0.735 0.003 0.502 O
0.735 0.997 0.002 O
0.736 0.484 0.995 O
0.736 0.516 0.495 O
0.745 0.048 0.834 O
0.745 0.952 0.334 O
0.773 0.472 0.311 O
0.773 0.528 0.811 O
0.808 0.174 0.686 O
0.808 0.826 0.186 O
0.962 0.254 0.092 O
0.962 0.746 0.592 O
```

Energy above the lowest structure with this stoichiometry in meV/atom: 0
Space group: P2/c, No. 13
N(E_F) in states/eV/f.u.: 0.0
Uncorrected formation energy in eV/atom: -3.059

---

A plane-wave DFT calculation with PBEsol was carried out for a geometry-optimized Ba5Er2ZrAl2O13 structure.

POSCAR file:
```
Ba5Er2ZrAl2O13
1.0
5.934 0.000 0.000
-2.967 5.139 0.000
0.000 0.000 24.888
Ba Er Zr Al O
10 4 2 4 26
direct
0.000 0.000 0.137 Ba
0.000 0.000 0.363 Ba
0.000 0.000 0.637 Ba
0.000 0.000 0.863 Ba
0.333 0.667 0.041 Ba
0.333 0.667 0.459 Ba
0.333 0.667 0.750 Ba
0.667 0.333 0.250 Ba
0.667 0.333 0.541 Ba
0.667 0.333 0.959 Ba
0.333 0.667 0.604 Er
0.333 0.667 0.896 Er
0.667 0.333 0.104 Er
0.667 0.333 0.396 Er
0.000 0.000 0.000 Zr
0.000 0.000 0.500 Zr
0.333 0.667 0.181 Al
0.333 0.667 0.319 Al
0.667 0.333 0.681 Al
0.667 0.333 0.819 Al
0.008 0.504 0.158 O
0.008 0.504 0.342 O
0.163 0.326 0.550 O
0.163 0.326 0.950 O
0.163 0.837 0.550 O
0.163 0.837 0.950 O
0.326 0.163 0.050 O
0.326 0.163 0.450 O
0.333 0.667 0.250 O
0.496 0.504 0.158 O
0.496 0.504 0.342 O
0.496 0.992 0.158 O
0.496 0.992 0.342 O
0.504 0.008 0.658 O
0.504 0.008 0.842 O
0.504 0.496 0.658 O
0.504 0.496 0.842 O
0.667 0.333 0.750 O
0.674 0.837 0.550 O
0.674 0.837 0.950 O
0.837 0.163 0.050 O
0.837 0.163 0.450 O
0.837 0.674 0.050 O
0.837 0.674 0.450 O
0.992 0.496 0.658 O
0.992 0.496 0.842 O
```

Space group: P6_3/mmc, No. 194
N(E_F) in states/eV/f.u.: 0.0
Uncorrected formation energy in eV/atom: -3.147

---

The lowest uncorrected formation energy belongs to which entry? Ba5Er2ZrAl2O13

---

Which formula does entry 1 have? Ba6Dy2Al4O15